1.
# PBE-GGA CuAg5Au4, relaxed
# Theoretical density (g cm⁻³): 12.51
# SG: C2/m
# Energy (eV per cell): -30.778
# D(E_F) (states/eV/cell): 2.87
data_CuAg5Au4
_chemical_formula_sum 'Cu1 Ag5 Au4'
_cell_length_a 7.474
_cell_length_b 7.474
_cell_length_c 9.070
_cell_angle_alpha 107.04
_cell_angle_beta 107.04
_cell_angle_gamma 22.45
_symmetry_space_group_name_H-M 'P 1'
_symmetry_Int_Tables_number 1
loop_
_symmetry_equiv_pos_as_xyz
'x,y,z'
loop_
_atom_site_label
_atom_site_fract_x
_atom_site_fract_y
_atom_site_fract_z
Cu1 0.000 0.000 0.000
Ag1 0.000 0.000 0.500
Ag2 0.322 0.322 0.281
Ag3 0.330 0.330 0.956
Ag4 0.670 0.670 0.044
Ag5 0.678 0.678 0.719
Au1 0.170 0.170 0.410
Au2 0.495 0.495 0.767
Au3 0.505 0.505 0.233
Au4 0.830 0.830 0.590



2.
# PBE-GGA HoBe4Tc, relaxed
# Theoretical density (g cm⁻³): 6.80
# SG: F-43m
# Energy (eV per cell): -30.184
# D(E_F) (states/eV/cell): 5.08
data_HoBe4Tc
_chemical_formula_sum 'Ho1 Be4 Tc1'
_cell_length_a 4.692
_cell_length_b 4.692
_cell_length_c 4.692
_cell_angle_alpha 60.00
_cell_angle_beta 60.00
_cell_angle_gamma 60.00
_symmetry_space_group_name_H-M 'P 1'
_symmetry_Int_Tables_number 1
loop_
_symmetry_equiv_pos_as_xyz
'x,y,z'
loop_
_atom_site_label
_atom_site_fract_x
_atom_site_fract_y
_atom_site_fract_z
Ho1 0.000 0.000 0.000
Be1 0.135 0.622 0.622
Be2 0.622 0.135 0.622
Be3 0.622 0.622 0.135
Be4 0.622 0.622 0.622
Tc1 0.250 0.250 0.250



3.
# PBE-GGA NdAsP2Rh5, relaxed
# Theoretical density (g cm⁻³): 8.25
# SG: P4/mmm
# Energy (eV per cell): -63.574
# D(E_F) (states/eV/cell): 3.57
data_NdAsP2Rh5
_chemical_formula_sum 'Nd1 As1 P2 Rh5'
_cell_length_a 4.014
_cell_length_b 4.014
_cell_length_c 9.934
_cell_angle_alpha 90.00
_cell_angle_beta 90.00
_cell_angle_gamma 90.00
_symmetry_space_group_name_H-M 'P 1'
_symmetry_Int_Tables_number 1
loop_
_symmetry_equiv_pos_as_xyz
'x,y,z'
loop_
_atom_site_label
_atom_site_fract_x
_atom_site_fract_y
_atom_site_fract_z
Nd1 0.000 0.000 0.000
As1 0.000 0.000 0.500
P1 0.500 0.500 0.229
P2 0.500 0.500 0.771
Rh1 0.000 0.500 0.344
Rh2 0.000 0.500 0.656
Rh3 0.500 0.000 0.344
Rh4 0.500 0.000 0.656
Rh5 0.500 0.500 0.000